(1)
Here is an optimized crystal structure of CoNiRu from Alexandria. Energies are from PBE.

Output
Polymorph energy (0 for the lowest one) ... 0.425 eV/atom
N(E_F) ... 1.98 states/eV/atom
Space group ... F-43m (216)
Energy of formation ... 547.8 meV/atom

Lattice parameters (Å, degrees): 3.855 3.855 3.855 60.00 60.00 60.00
Last column: magnetic moment on the atom in μB.
Fractional positions:
Co 0.750 0.750 0.750  0.31
Ru 0.500 0.500 0.500  -0.01
Ni 0.000 0.000 0.000  0.19

(2)
Here is an optimized crystal structure of SrP3H12 from Alexandria. Energies are from PBE.

Output
N(E_F) ... 0.29 states/eV/atom
Total energy ... -118.36 eV per cell
Space group ... R3c (161)

Lattice parameters (Å, degrees): 8.377 8.377 9.190 62.89 62.89 60.00
Last column: magnetic moment on the atom in μB.
Fractional positions:
P 0.782 0.368 0.989  0.14
H 0.408 0.576 0.865  0.00
P 0.360 0.868 0.489  0.14
H 0.151 0.408 0.865  0.00
H 0.076 0.908 0.365  0.00
Sr 0.075 0.075 0.776  0.04
H 0.392 0.017 0.332  0.00
H 0.031 0.619 0.020  0.00
P 0.860 0.782 0.989  0.14
H 0.366 0.580 0.806  0.00
H 0.017 0.259 0.332  0.00
H 0.651 0.076 0.365  0.00
H 0.080 0.866 0.306  0.00
H 0.576 0.151 0.865  0.00
P 0.868 0.282 0.489  0.14
H 0.259 0.392 0.332  0.00
H 0.531 0.830 0.520  0.00
H 0.517 0.892 0.832  0.00
H 0.759 0.517 0.832  0.00
H 0.892 0.759 0.832  0.00
H 0.580 0.248 0.806  0.00
H 0.830 0.119 0.520  0.00
H 0.119 0.531 0.520  0.00
H 0.619 0.330 0.020  0.00
P 0.368 0.860 0.989  0.14
P 0.282 0.360 0.489  0.14
H 0.330 0.031 0.020  0.00
H 0.248 0.366 0.806  0.00
Sr 0.575 0.575 0.276  0.04
H 0.866 0.748 0.306  0.00
H 0.748 0.080 0.306  0.00
H 0.908 0.651 0.365  0.00